(1)
Ba2Li15Al2 | PBE | optimized geometry

Cell: 7.6689 7.6689 7.6689 Å, 85.20 85.20 85.20°
Fractional coordinates of all 19 atoms:
1 Ba 0.1523 0.1523 0.1523
2 Ba 0.8477 0.8477 0.8477
3 Li 0.0000 0.5000 0.5000
4 Li 0.1612 0.1612 0.6170
5 Li 0.1612 0.6170 0.1612
6 Li 0.2420 0.5000 0.7580
7 Li 0.2420 0.7580 0.5000
8 Li 0.3830 0.8388 0.8388
9 Li 0.5000 0.0000 0.5000
10 Li 0.5000 0.2420 0.7580
11 Li 0.5000 0.5000 0.0000
12 Li 0.5000 0.7580 0.2420
13 Li 0.6170 0.1612 0.1612
14 Li 0.7580 0.2420 0.5000
15 Li 0.7580 0.5000 0.2420
16 Li 0.8388 0.3830 0.8388
17 Li 0.8388 0.8388 0.3830
18 Al 0.4032 0.4032 0.4032
19 Al 0.5968 0.5968 0.5968

Total magnetization (μB/cell): 0.00
E_form (eV per atom): -0.012
Total energy (eV per cell): -40.26

(2)
Pm2DyAu | PBE | optimized geometry

Cell: 3.7109 3.7109 8.5172 Å, 90.00 90.00 90.00°
Fractional coordinates of all 4 atoms:
1 Pm 0.0000 0.0000 0.2113
2 Pm 0.0000 0.0000 0.7887
3 Dy 0.5000 0.5000 0.5000
4 Au 0.5000 0.5000 0.0000

Total magnetization (μB/cell): 0.00
Relative energy among the computed polymorphs (meV/atom): 56
E_form (eV per atom): -0.353
Total energy (eV per cell): -18.79

(3)
NaHN2 | PBE | optimized geometry

Cell: 6.5185 6.5185 6.5185 Å, 22.50 22.50 22.50°
Fractional coordinates of all 4 atoms:
1 Na 0.0000 0.0000 0.0000
2 H 0.5000 0.5000 0.5000
3 N 0.4319 0.4319 0.4319
4 N 0.5681 0.5681 0.5681

Total magnetization (μB/cell): 0.17
Relative energy among the computed polymorphs (meV/atom): 378
Total energy (eV per cell): -14.84

(4)
Sr3Cd2Pb4 | PBE | optimized geometry

Cell: 6.8405 6.8405 9.6212 Å, 103.78 103.78 42.71°
Fractional coordinates of all 9 atoms:
1 Sr 0.0000 0.0000 0.0000
2 Sr 0.3768 0.3768 0.3008
3 Sr 0.6232 0.6232 0.6992
4 Cd 0.2945 0.2945 0.6159
5 Cd 0.7055 0.7055 0.3841
6 Pb 0.0690 0.0690 0.3818
7 Pb 0.3008 0.3008 0.9323
8 Pb 0.6992 0.6992 0.0677
9 Pb 0.9310 0.9310 0.6182

Total magnetization (μB/cell): 0.00
E_form (eV per atom): -0.411
Total energy (eV per cell): -25.41

(5)
Pm2CoI2 | PBE | optimized geometry

Cell: 11.8407 11.8407 11.8407 Å, 20.07 20.07 20.07°
Fractional coordinates of all 5 atoms:
1 Pm 0.1221 0.1221 0.1221
2 Pm 0.8779 0.8779 0.8779
3 Co 0.5000 0.5000 0.5000
4 I 0.3927 0.3927 0.3927
5 I 0.6073 0.6073 0.6073

Total magnetization (μB/cell): 0.00
ΔE_f (raw) (eV/atom): -0.7063
Total energy (eV per cell): -23.24

(6)
SiSb2P | PBE | optimized geometry

Cell: 3.9501 3.9501 5.9450 Å, 90.00 90.00 90.00°
Fractional coordinates of all 4 atoms:
1 Si 0.0000 0.0000 0.0000
2 Sb 0.0000 0.0000 0.5461
3 Sb 0.5000 0.5000 0.0601
4 P 0.5000 0.5000 0.4912

Total magnetization (μB/cell): 0.00
ΔE_f (raw) (eV/atom): 0.2030
Relative energy among the computed polymorphs (meV/atom): 132
Total energy (eV per cell): -18.27

(7)
Nd3Ga7Rh2 | PBE | optimized geometry

Cell: 13.7705 13.7705 4.2909 Å, 90.00 90.00 162.11°
Fractional coordinates of all 12 atoms:
1 Nd 0.0000 0.0000 0.0000
2 Nd 0.1780 0.8220 0.0000
3 Nd 0.8220 0.1780 0.0000
4 Ga 0.0845 0.9155 0.5000
5 Ga 0.2747 0.7253 0.5000
6 Ga 0.4149 0.5851 0.0000
7 Ga 0.5000 0.5000 0.5000
8 Ga 0.5851 0.4149 0.0000
9 Ga 0.7253 0.2747 0.5000
10 Ga 0.9155 0.0845 0.5000
11 Rh 0.3650 0.6350 0.5000
12 Rh 0.6350 0.3650 0.5000

Total magnetization (μB/cell): 0.00
E_form (eV per atom): -0.595
Total energy (eV per cell): -57.33

(8)
Pr2Zn3Cd | PBE | optimized geometry

Cell: 9.4711 8.9631 5.9591 Å, 75.83 66.57 37.59°
Fractional coordinates of all 12 atoms:
1 Pr 0.2500 0.2500 0.2500
2 Pr 0.2497 0.7503 0.7503
3 Pr 0.7503 0.2497 0.2497
4 Pr 0.7500 0.7500 0.7500
5 Zn 0.1625 0.1625 0.8375
6 Zn 0.1626 0.6749 0.3251
7 Zn 0.3251 0.8374 0.1626
8 Zn 0.6749 0.1626 0.8374
9 Zn 0.8374 0.3251 0.6749
10 Zn 0.8375 0.8375 0.1625
11 Cd 0.3334 0.3334 0.6666
12 Cd 0.6666 0.6666 0.3334

Total magnetization (μB/cell): 0.00
Relative energy among the computed polymorphs (meV/atom): 0
E_form (eV per atom): -0.318
Total energy (eV per cell): -32.41

(9)
NpPa2Tc | PBE | optimized geometry

Cell: 10.5127 10.5127 10.5127 Å, 16.67 16.67 16.67°
Fractional coordinates of all 4 atoms:
1 Np 0.0000 0.0000 0.0000
2 Pa 0.0922 0.0922 0.0922
3 Pa 0.9078 0.9078 0.9078
4 Tc 0.5000 0.5000 0.5000

Total magnetization (μB/cell): 2.35
Relative energy among the computed polymorphs (meV/atom): 310
E_form (eV per atom): 0.312
Total energy (eV per cell): -41.05

(10)
BaMg2In | PBE | optimized geometry

Cell: 6.8253 6.8253 3.4141 Å, 102.25 102.25 119.09°
Fractional coordinates of all 4 atoms:
1 Ba 0.0000 0.0000 0.0000
2 Mg 0.0000 0.5000 0.5000
3 Mg 0.5000 0.0000 0.5000
4 In 0.5000 0.5000 0.0000

Total magnetization (μB/cell): 0.00
E_form (eV per atom): 0.052
Total energy (eV per cell): -7.64

(11)
BaCa3Pt | PBE | optimized geometry

Cell: 7.1293 7.9018 8.0558 Å, 65.39 76.14 69.56°
Fractional coordinates of all 10 atoms:
1 Ba 0.9996 0.2355 0.2178
2 Ba 0.0004 0.7645 0.7822
3 Ca 0.0611 0.2845 0.6894
4 Ca 0.4535 0.7371 0.0155
5 Ca 0.5000 0.0000 0.5000
6 Ca 0.5000 0.5000 0.5000
7 Ca 0.5465 0.2629 0.9845
8 Ca 0.9389 0.7155 0.3106
9 Pt 0.2977 0.4029 0.2931
10 Pt 0.7023 0.5971 0.7069

Total magnetization (μB/cell): 0.00
Relative energy among the computed polymorphs (meV/atom): 14
E_form (eV per atom): -0.448
Total energy (eV per cell): -32.41

(12)
UPbIO6 | PBE | optimized geometry

Cell: 5.7661 5.7661 10.5598 Å, 90.00 90.00 120.00°
Fractional coordinates of all 18 atoms:
1 U 0.3333 0.6667 0.2500
2 U 0.6667 0.3333 0.7500
3 Pb 0.0000 0.0000 0.0000
4 Pb 0.0000 0.0000 0.5000
5 I 0.3333 0.6667 0.7500
6 I 0.6667 0.3333 0.2500
7 O 0.0064 0.3702 0.6441
8 O 0.0064 0.6362 0.8559
9 O 0.3638 0.3702 0.8559
10 O 0.3638 0.9936 0.6441
11 O 0.3702 0.0064 0.1441
12 O 0.3702 0.3638 0.3559
13 O 0.6298 0.6362 0.6441
14 O 0.6298 0.9936 0.8559
15 O 0.6362 0.0064 0.3559
16 O 0.6362 0.6298 0.1441
17 O 0.9936 0.3638 0.1441
18 O 0.9936 0.6298 0.3559

Total magnetization (μB/cell): 2.00
ΔE_f (raw) (eV/atom): -1.5718
Total energy (eV per cell): -120.88